one.
# NdBRu | Alexandria via LeMat-Bulk | PBE | relaxed
data_NdBRu
_space_group_name_H-M_alt 'P -6 m 2'
_space_group_IT_number 187
_space_group_name_Hall 'P -6 2'
_cell_length_a 3.6767
_cell_length_b 3.6767
_cell_length_c 4.4772
_cell_angle_alpha 90.00
_cell_angle_beta 90.00
_cell_angle_gamma 120.00
loop_
_atom_site_label
_atom_site_type_symbol
_atom_site_fract_x
_atom_site_fract_y
_atom_site_fract_z
Nd1 Nd 0.0000 0.0000 0.0000
B1 B 0.6667 0.3333 0.5000
Ru1 Ru 0.3333 0.6667 0.5000
# Fermi-level density of states in states/eV per atom: 0.45

two.
# NdBRu | Alexandria via LeMat-Bulk | PBE | relaxed
data_NdBRu
_space_group_name_H-M_alt 'P 4/n m m'
_space_group_IT_number 129
_cell_length_a 3.971
_cell_length_b 3.971
_cell_length_c 7.412
_cell_angle_alpha 90.00
_cell_angle_beta 90.00
_cell_angle_gamma 90.00
loop_
_space_group_symop_operation_xyz
'x,y,z'
'-x,-y,-z'
'-y+1/2,x,z'
'y+1/2,-x,-z'
'-x+1/2,-y+1/2,z'
'x+1/2,y+1/2,-z'
'y,-x+1/2,z'
'-y,x+1/2,-z'
'x+1/2,-y,-z'
'-x+1/2,y,z'
'-y,-x,-z'
'y,x,z'
'-x,y+1/2,-z'
'x,-y+1/2,z'
'y+1/2,x+1/2,-z'
'-y+1/2,-x+1/2,z'
loop_
_atom_site_label
_atom_site_type_symbol
_atom_site_fract_x
_atom_site_fract_y
_atom_site_fract_z
Nd1 Nd 0.250 0.250 0.198
B1 B 0.250 0.250 0.618
Ru1 Ru 0.250 0.750 0.500
# Fermi-level density of states in states/eV per atom: 0.84

Sorted by energy, starting with the most stable: two, one.